Density functional theory data (PBE-GGA) for a geometry-optimized Ca2TlCdHg structure.

The structure in POSCAR format:
```
Ca2TlCdHg
1.0
-2.253 1.534 4.126
-2.679 -7.548 1.343
6.589 0.868 3.275
Ca Tl Cd Hg
4 2 2 2
Direct
0.750 0.875 0.629
0.750 0.690 0.033
0.250 0.125 0.371
0.250 0.310 0.967
0.250 0.701 0.333
0.750 0.299 0.667
0.250 0.539 0.664
0.750 0.461 0.336
0.250 0.893 0.925
0.750 0.107 0.075
```

Summary:
offset from the most stable computed form = 0 meV/atom
theoretical density = 7.064 g cm⁻³
E_tot = -1.9087 eV/atom
D(E_F) = 2.618 states/eV/f.u.